[1]
VASP calculation (GGA-PBEsol) on a relaxed structure of BeAgIr2.

Results
Energy (eV/atom): -6.64
Magnetization (μB/f.u.): 0.00
Calculated volume (Å³/cell): 54

abc: 2.740 3.904 5.192
angles: 90.00 103.88 90.00
Positions (direct):
Ir 0.862 0.000 0.719
Be 0.500 0.500 0.500
Ag 0.500 0.500 0.000
Ir 0.138 0.000 0.281

=====

[2]
VASP calculation (GGA-PBEsol) on a relaxed structure of BeAgIr2.

Results
Energy (eV/atom): -6.41
Magnetization (μB/f.u.): 0.00
Calculated volume (Å³/cell): 54

abc: 3.710 3.816 3.816
angles: 90.00 90.00 90.00
Positions (direct):
Be 0.500 0.000 0.000
Ir 0.000 0.500 0.000
Ag 0.500 0.500 0.500
Ir 0.000 0.000 0.500

=====

[3]
VASP calculation (GGA-PBEsol) on a relaxed structure of Be2AgIr.

Results
Energy (eV/atom): -5.09
Magnetization (μB/f.u.): 0.00
Calculated volume (Å³/cell): 50

abc: 2.643 2.643 8.024
angles: 90.00 90.00 116.47
Positions (direct):
Ir 0.000 0.000 0.537
Be 0.000 0.000 0.980
Ag 0.500 0.500 0.227
Be 0.500 0.500 0.756

=====

[4]
VASP calculation (GGA-PBEsol) on a relaxed structure of Be2AgIr.

Results
Energy (eV/atom): -5.56
Magnetization (μB/f.u.): 0.00
Calculated volume (Å³/cell): 45

abc: 2.837 3.993 3.993
angles: 90.00 90.00 90.00
Positions (direct):
Ag 0.500 0.000 0.000
Be 0.000 0.500 0.000
Be 0.000 0.000 0.500
Ir 0.500 0.500 0.500